Run 1
Mg3CdAg6 | PBE | optimized geometry

The space group is P2_1/m (No. 11) and the conventional cell measures 7.960, 4.806 and 10.186 Å, with angles of 90.00, 108.48 and 90.00 degrees. Symmetry generates all atoms from Mg at (0.050, 0.250, 0.386), Mg at (0.145, 0.750, 0.208), Mg at (0.264, 0.250, 0.988), Cd at (0.454, 0.250, 0.588), Ag at (0.038, 0.750, 0.914), Ag at (0.151, 0.250, 0.687), Ag at (0.237, 0.750, 0.510), Ag at (0.339, 0.750, 0.815), Ag at (0.353, 0.250, 0.282) and Ag at (0.443, 0.750, 0.114).

=====

Run 2
Mg3CdAg6 | PBE | optimized geometry

The space group is R-3 (No. 148, hexagonal axes) and the conventional cell measures 10.2640, 10.2640 and 12.8174 Å, with angles of 90.00, 90.00 and 120.00 degrees. Symmetry generates all atoms from Mg at (0.0052, 0.5657, 0.2057), Cd at (0.0000, 0.0000, 0.0000), Cd at (0.0000, 0.0000, 0.5000), Ag at (0.0406, 0.8539, 0.3128) and Ag at (0.0532, 0.4638, 0.5882).

=====

Which is the most stable structure? run 1 is the most stable.

=====

Run 1
MgCd6Ag3 | PBE | optimized geometry

The space group is C2/m (No. 12) and the conventional cell measures 9.557, 5.968 and 7.928 Å, with angles of 90.00, 108.76 and 90.00 degrees. Symmetry generates all atoms from Mg at (0.000, 0.000, 0.000), Cd at (0.153, 0.000, 0.433), Cd at (0.174, 0.249, 0.800), Ag at (0.000, 0.500, 0.500) and Ag at (0.076, 0.500, 0.185).

=====

Run 2
MgCd6Ag3 | PBE | optimized geometry

The space group is P2_1/m (No. 11) and the conventional cell measures 8.284, 4.903 and 10.606 Å, with angles of 90.00, 110.30 and 90.00 degrees. Symmetry generates all atoms from Mg at (0.108, 0.250, 0.071), Cd at (0.092, 0.750, 0.231), Cd at (0.101, 0.250, 0.571), Cd at (0.294, 0.750, 0.029), Cd at (0.301, 0.250, 0.372), Cd at (0.484, 0.750, 0.832), Cd at (0.498, 0.250, 0.667), Ag at (0.095, 0.750, 0.734), Ag at (0.294, 0.750, 0.535) and Ag at (0.295, 0.250, 0.871).

=====

Which is the most stable structure? run 2 is the most stable.

=====

Run 1
MgCd6Ag | PBE | optimized geometry

The space group is P4/mmm (No. 123) and the conventional cell measures 6.303, 6.303 and 4.291 Å, with angles of 90.00, 90.00 and 90.00 degrees. Symmetry generates all atoms from Mg at (0.000, 0.000, 0.000), Cd at (0.000, 0.500, 0.000), Cd at (0.252, 0.252, 0.500) and Ag at (0.500, 0.500, 0.000).

=====

Run 2
MgCd6Ag | PBE | optimized geometry

The space group is P-1 (No. 2) and the conventional cell measures 5.602, 5.621 and 5.624 Å, with angles of 95.72, 95.86 and 95.80 degrees. Symmetry generates all atoms from Mg at (0.000, 0.000, 0.000), Cd at (0.042, 0.464, 0.750), Cd at (0.251, 0.955, 0.538), Cd at (0.463, 0.749, 0.044) and Ag at (0.500, 0.500, 0.500).

=====

Which is the most stable structure? run 1 is the most stable.

=====

Run 1
Mg3Cd2Ag4 | PBE | optimized geometry

The space group is P-1 (No. 2) and the conventional cell measures 4.310, 5.096 and 8.914 Å, with angles of 76.03, 89.79 and 65.31 degrees. Symmetry generates all atoms from Mg at (0.000, 0.000, 0.000), Mg at (0.336, 0.328, 0.433), Cd at (0.331, 0.336, 0.778), Ag at (0.007, 0.986, 0.339) and Ag at (0.334, 0.331, 0.108).

=====

Run 2
Mg3Cd2Ag4 | PBE | optimized geometry

The space group is C2/m (No. 12) and the conventional cell measures 12.930, 4.168 and 6.753 Å, with angles of 90.00, 109.07 and 90.00 degrees. Symmetry generates all atoms from Mg at (0.000, 0.000, 0.000), Mg at (0.115, 0.000, 0.645), Cd at (0.166, 0.500, 0.001), Ag at (0.050, 0.500, 0.329) and Ag at (0.220, 0.000, 0.335).

=====

Which is the most stable structure? run 1 is the most stable.

=====

Run 1
Mg2Cd3Ag | PBE | optimized geometry

The space group is Fddd (No. 70, origin choice 2) and the conventional cell measures 6.134, 8.670 and 18.681 Å, with angles of 90.00, 90.00 and 90.00 degrees. Symmetry generates all atoms from Mg at (0.125, 0.125, 0.298), Cd at (0.125, 0.125, 0.125), Cd at (0.125, 0.125, 0.461) and Ag at (0.125, 0.125, 0.625).

=====

Run 2
Mg2Cd3Ag | PBE | optimized geometry

The space group is C2/m (No. 12) and the conventional cell measures 13.522, 4.150 and 10.104 Å, with angles of 90.00, 117.43 and 90.00 degrees. Symmetry generates all atoms from Mg at (0.032, 0.000, 0.376), Mg at (0.212, 0.500, 0.374), Cd at (0.044, 0.500, 0.872), Cd at (0.126, 0.000, 0.132), Cd at (0.207, 0.000, 0.867) and Ag at (0.126, 0.500, 0.606).

=====

Which is the most stable structure? run 1 is the most stable.

=====

Run 1
Mg2Cd8Ag | PBE | optimized geometry

The space group is C2/m (No. 12) and the conventional cell measures 7.345, 13.682 and 5.478 Å, with angles of 90.00, 113.19 and 90.00 degrees. Symmetry generates all atoms from Mg at (0.000, 0.198, 0.000), Cd at (0.000, 0.282, 0.500), Cd at (0.087, 0.000, 0.280), Cd at (0.211, 0.387, 0.204) and Ag at (0.000, 0.500, 0.500).

=====

Run 2
Mg2Cd8Ag | PBE | optimized geometry

The space group is P4/mmm (No. 123) and the conventional cell measures 4.599, 4.599 and 11.658 Å, with angles of 90.00, 90.00 and 90.00 degrees. Symmetry generates all atoms from Mg at (0.000, 0.000, 0.179), Cd at (0.000, 0.500, 0.000), Cd at (0.000, 0.500, 0.359), Cd at (0.500, 0.500, 0.180) and Ag at (0.000, 0.000, 0.500).

=====

Which is the most stable structure? run 2 is the most stable.

=====

Run 1
Mg4CdAg2 | PBE | optimized geometry

The space group is R-3m (No. 166, hexagonal axes) and the conventional cell measures 4.7435, 4.7435 and 22.5820 Å, with angles of 90.00, 90.00 and 120.00 degrees. Symmetry generates all atoms from Mg at (0.0000, 0.0000, 0.1137), Mg at (0.0000, 0.0000, 0.3683), Cd at (0.0000, 0.0000, 0.5000) and Ag at (0.0000, 0.0000, 0.2452).

=====

Run 2
Mg4CdAg2 | PBE | optimized geometry

The space group is R-3m (No. 166, hexagonal axes) and the conventional cell measures 4.5280, 4.5280 and 28.1007 Å, with angles of 90.00, 90.00 and 120.00 degrees. Symmetry generates all atoms from Mg at (0.0000, 0.0000, 0.1098), Mg at (0.0000, 0.0000, 0.3002), Cd at (0.0000, 0.0000, 0.5000) and Ag at (0.0000, 0.0000, 0.4009).

=====

Which is the most stable structure? run 1 is the most stable.

=====

Run 1
MgCd4Ag2 | PBE | optimized geometry

The space group is P2_1/c (No. 14) and the conventional cell measures 5.333, 9.780 and 5.727 Å, with angles of 90.00, 96.87 and 90.00 degrees. Symmetry generates all atoms from Mg at (0.000, 0.000, 0.000), Cd at (0.003, 0.236, 0.288), Cd at (0.499, 0.670, 0.470) and Ag at (0.266, 0.018, 0.587).

=====

Run 2
MgCd4Ag2 | PBE | optimized geometry

The space group is I4/mmm (No. 139) and the conventional cell measures 6.505, 6.505 and 7.295 Å, with angles of 90.00, 90.00 and 90.00 degrees. Symmetry generates all atoms from Mg at (0.000, 0.000, 0.000), Cd at (0.250, 0.250, 0.250) and Ag at (0.000, 0.500, 0.000).

=====

Which is the most stable structure? run 2 is the most stable.